Entry 1:
The following is a PBE calculation of CdSe2Br after structural relaxation, from the Alexandria database.

Unit cell a=3.8686 b=3.8686 c=6.8033 alpha=90.00 beta=90.00 gamma=90.00
Space group P4/mmm (No. 123)
One atom of each set of equivalent atoms:
1 Cd 0.0000 0.0000 0.0000 [1 per cell]
2 Se 0.5000 0.5000 0.1812 [2 per cell]
3 Br 0.0000 0.0000 0.5000 [1 per cell]

Its formation energy (no corrections) is 0.0771 eV/atom. The calculation puts the energy above the most stable polymorph in this dataset at 0.375 eV/atom.

---

Entry 2:
The following is a PBE calculation of SiIr4W after structural relaxation, from the Alexandria database.

Unit cell a=7.2594 b=7.2594 c=7.2594 alpha=90.00 beta=90.00 gamma=90.00
Space group F-43m (No. 216)
One atom of each set of equivalent atoms:
1 Si 0.0000 0.0000 0.0000 [4 per cell]
2 Ir 0.1251 0.1251 0.3749 [16 per cell]
3 W 0.2500 0.2500 0.7500 [4 per cell]

Its formation energy (no corrections) is 0.5747 eV/atom.

---

Entry 3:
The following is a PBE calculation of Cs2HAu2 after structural relaxation, from the Alexandria database.

Unit cell a=6.9131 b=6.9131 c=6.9160 alpha=90.00 beta=90.00 gamma=90.00
Space group I4/mmm (No. 139)
One atom of each set of equivalent atoms:
1 Cs 0.0000 0.5000 0.2500 [4 per cell]
2 H 0.0000 0.0000 0.0000 [2 per cell]
3 Au 0.0000 0.0000 0.2876 [4 per cell]

---

Entry 4:
The following is a PBE calculation of CaScTa2 after structural relaxation, from the Alexandria database.

Unit cell a=3.2965 b=5.5308 c=10.2282 alpha=90.00 beta=90.00 gamma=90.00
Space group Imm2 (No. 44)
One atom of each set of equivalent atoms:
1 Ca 0.0000 0.0000 0.0000 [2 per cell]
2 Sc 0.0000 0.5000 0.7881 [2 per cell]
3 Ta 0.0000 0.0000 0.5349 [2 per cell]
4 Ta 0.0000 0.5000 0.2308 [2 per cell]

The calculation puts the energy above the most stable polymorph in this dataset at 0.284 eV/atom.

---

Entry 5:
The following is a PBE calculation of CuReTe after structural relaxation, from the Alexandria database.

Unit cell a=3.2058 b=5.0232 c=13.6806 alpha=90.00 beta=90.00 gamma=90.00
Space group Fmm2 (No. 42)
One atom of each set of equivalent atoms:
1 Cu 0.0000 0.0000 0.0000 [4 per cell]
2 Re 0.0000 0.0000 0.3558 [4 per cell]
3 Te 0.0000 0.0000 0.6940 [4 per cell]

Its formation energy (no corrections) is 0.9382 eV/atom. The calculation puts the energy above the most stable polymorph in this dataset at 0.769 eV/atom.

---

Entry 6:
The following is a PBE calculation of LiLuCdGe after structural relaxation, from the Alexandria database.

Unit cell a=6.8868 b=6.8868 c=6.8868 alpha=90.00 beta=90.00 gamma=90.00
Space group F-43m (No. 216)
One atom of each set of equivalent atoms:
1 Li 0.0000 0.0000 0.0000 [4 per cell]
2 Lu 0.0000 0.0000 0.5000 [4 per cell]
3 Cd 0.2500 0.2500 0.7500 [4 per cell]
4 Ge 0.2500 0.2500 0.2500 [4 per cell]

---

Entry 7:
The following is a PBE calculation of PrInPd6 after structural relaxation, from the Alexandria database.

Unit cell a=5.4831 b=5.4831 c=21.2304 alpha=90.00 beta=90.00 gamma=120.00
Space group R-3m (No. 166, hexagonal axes)
One atom of each set of equivalent atoms:
1 Pr 0.0000 0.0000 0.0000 [3 per cell]
2 In 0.0000 0.0000 0.5000 [3 per cell]
3 Pd 0.0054 0.5027 0.9349 [18 per cell]

The calculation puts the energy above the most stable polymorph in this dataset at 0.379 eV/atom.

---

Entry 8:
The following is a PBE calculation of SrAgAu2 after structural relaxation, from the Alexandria database.

Unit cell a=7.6104 b=4.6135 c=10.7476 alpha=90.00 beta=90.00 gamma=90.00
Space group Pnma (No. 62)
One atom of each set of equivalent atoms:
1 Sr 0.2123 0.2500 0.1705 [4 per cell]
2 Ag 0.0447 0.7500 0.4038 [4 per cell]
3 Au 0.0813 0.2500 0.8449 [4 per cell]
4 Au 0.2229 0.7500 0.9631 [4 per cell]

---

Entry 9:
The following is a PBE calculation of MgAgPb2 after structural relaxation, from the Alexandria database.

Unit cell a=4.8491 b=4.8491 c=8.5693 alpha=90.00 beta=90.00 gamma=90.00
Space group I4/mmm (No. 139)
One atom of each set of equivalent atoms:
1 Mg 0.0000 0.0000 0.0000 [2 per cell]
2 Ag 0.0000 0.0000 0.5000 [2 per cell]
3 Pb 0.0000 0.5000 0.2500 [4 per cell]

---

Entry 10:
The following is a PBE calculation of CrIr2Pb after structural relaxation, from the Alexandria database.

Unit cell a=3.0772 b=4.6170 c=9.4857 alpha=90.00 beta=90.00 gamma=90.00
Space group Imm2 (No. 44)
One atom of each set of equivalent atoms:
1 Cr 0.0000 0.0000 0.0000 [2 per cell]
2 Ir 0.0000 0.0000 0.4879 [2 per cell]
3 Ir 0.0000 0.5000 0.7185 [2 per cell]
4 Pb 0.0000 0.5000 0.2438 [2 per cell]

---

Entry 11:
The following is a PBE calculation of Mn2PSe after structural relaxation, from the Alexandria database.

Unit cell a=6.0651 b=6.0651 c=6.0651 alpha=90.00 beta=90.00 gamma=90.00
Space group F-43m (No. 216)
One atom of each set of equivalent atoms:
1 Mn 0.0000 0.0000 0.0000 [4 per cell]
2 Mn 0.2500 0.2500 0.2500 [4 per cell]
3 P 0.2500 0.2500 0.7500 [4 per cell]
4 Se 0.0000 0.0000 0.5000 [4 per cell]

Its formation energy (no corrections) is 0.4742 eV/atom. The calculation puts the energy above the most stable polymorph in this dataset at 0.744 eV/atom.

---

Entry 12:
The following is a PBE calculation of AcSmCd after structural relaxation, from the Alexandria database.

Unit cell a=12.9829 b=3.8092 c=9.4923 alpha=90.00 beta=118.32 gamma=90.00
Space group C2/m (No. 12)
One atom of each set of equivalent atoms:
1 Ac 0.1461 0.0000 0.3076 [4 per cell]
2 Sm 0.1221 0.5000 0.9592 [4 per cell]
3 Cd 0.1156 0.0000 0.6640 [4 per cell]

The calculation puts the energy above the most stable polymorph in this dataset at 0.124 eV/atom.

---

Entry 13:
The following is a PBE calculation of MnMoH after structural relaxation, from the Alexandria database.

Unit cell a=2.8938 b=2.8938 c=3.6092 alpha=90.00 beta=90.00 gamma=90.00
Space group P4/mmm (No. 123)
One atom of each set of equivalent atoms:
1 Mn 0.0000 0.0000 0.0000 [1 per cell]
2 Mo 0.5000 0.5000 0.5000 [1 per cell]
3 H 0.0000 0.0000 0.5000 [1 per cell]

---

Per-record raw total energy, eV/atom: -2.3121, -8.3953, -2.3782, -7.4623, -5.6237, -3.3805, -5.0391, -3.2847, -2.9426, -7.2417, -6.3342, -3.3020, -7.6759